(one)
# NbTl2Ga

An optimized crystal structure of NbTl2Ga (GGA-PBE, the Alexandria database).

Geometry as POSCAR:
```
NbTl2Ga
1.0
0.000 3.603 3.603
3.603 0.000 3.603
3.603 3.603 0.000
Tl Nb Ga
2 1 1
Direct
0.250 0.250 0.250
0.750 0.750 0.750
0.500 0.500 0.500
0.000 0.000 0.000
```

Results
spin magnetization = 2.5 μB/f.u.
crystal system = cubic

---

(two)
# NbTl2Ga

An optimized crystal structure of NbTl2Ga (GGA-PBE, the Alexandria database).

Geometry as POSCAR:
```
NbTl2Ga
1.0
7.937 0.000 0.000
0.000 7.937 0.000
3.969 3.969 2.924
Ga Tl Nb
2 4 2
Direct
0.500 0.500 0.000
0.250 0.750 0.500
0.617 0.125 0.250
0.375 0.383 0.750
0.133 0.625 0.250
0.875 0.867 0.750
0.750 0.250 0.500
0.000 0.000 0.000
```

Results
spin magnetization = 0.0 μB/f.u.
crystal system = tetragonal

---

Least stable: (one)

---

(one)
# NbTl3Ga

An optimized crystal structure of NbTl3Ga (GGA-PBE, the Alexandria database).

Geometry as POSCAR:
```
NbTl3Ga
1.0
-4.102 -2.631 2.217
2.747 -4.582 -0.356
2.072 0.865 4.861
Tl Ga Nb
3 1 1
Direct
0.500 0.000 0.000
0.000 0.500 0.000
0.000 0.000 0.500
0.000 0.000 0.000
0.500 0.500 0.500
```

Results
spin magnetization = 3.9 μB/f.u.
crystal system = cubic

---

(two)
# NbTl3Ga

An optimized crystal structure of NbTl3Ga (GGA-PBE, the Alexandria database).

Geometry as POSCAR:
```
NbTl3Ga
1.0
5.513 0.000 0.000
0.000 5.513 0.000
0.000 0.000 5.513
Tl Nb Ga
3 1 1
Direct
0.500 0.000 0.000
0.000 0.000 0.500
0.000 0.500 0.000
0.000 0.000 0.000
0.500 0.500 0.500
```

Results
spin magnetization = 0.0 μB/f.u.
crystal system = cubic

---

Least stable: (one)

---

(one)
# Nb3TlGa

An optimized crystal structure of Nb3TlGa (GGA-PBE, the Alexandria database).

Geometry as POSCAR:
```
Nb3TlGa
1.0
5.096 0.000 0.000
0.000 5.096 0.000
0.000 0.000 5.096
Nb Tl Ga
3 1 1
Direct
0.000 0.000 0.500
0.500 0.000 0.000
0.000 0.500 0.000
0.000 0.000 0.000
0.500 0.500 0.500
```

Results
spin magnetization = 0.0 μB/f.u.
crystal system = cubic

---

(two)
# Nb3TlGa

An optimized crystal structure of Nb3TlGa (GGA-PBE, the Alexandria database).

Geometry as POSCAR:
```
Nb3TlGa
1.0
4.788 0.000 0.000
0.000 4.788 0.000
0.000 0.000 4.788
Nb Ga Tl
3 1 1
Direct
0.500 0.000 0.000
0.000 0.000 0.500
0.000 0.500 0.000
0.000 0.000 0.000
0.500 0.500 0.500
```

Results
spin magnetization = 0.0 μB/f.u.
crystal system = cubic

---

Least stable: (one)

---

(one)
# Nb3VGa

An optimized crystal structure of Nb3VGa (GGA-PBE, the Alexandria database).

Geometry as POSCAR:
```
Nb3VGa
1.0
-4.079 1.704 7.382
0.463 -5.089 4.604
4.094 2.728 4.806
Nb V Ga
12 4 4
Direct
0.443 0.041 0.333
0.943 0.333 0.041
0.582 0.725 0.057
0.082 0.057 0.725
0.557 0.959 0.667
0.077 0.324 0.353
0.418 0.275 0.943
0.057 0.667 0.959
0.577 0.353 0.324
0.923 0.676 0.647
0.918 0.943 0.275
0.423 0.647 0.676
0.295 0.554 0.192
0.795 0.192 0.554
0.705 0.446 0.808
0.205 0.808 0.446
0.250 0.372 0.628
0.750 0.036 0.964
0.250 0.964 0.036
0.750 0.628 0.372
```

Results
spin magnetization = 0.0 μB/f.u.
crystal system = monoclinic

---

(two)
# Nb3VGa

An optimized crystal structure of Nb3VGa (GGA-PBE, the Alexandria database).

Geometry as POSCAR:
```
Nb3VGa
1.0
4.634 0.000 0.000
0.000 4.634 0.000
0.000 0.000 4.634
Nb Ga V
3 1 1
Direct
0.000 0.500 0.000
0.000 0.000 0.500
0.500 0.000 0.000
0.500 0.500 0.500
0.000 0.000 0.000
```

Results
spin magnetization = 0.0 μB/f.u.
crystal system = cubic

---

(three)
# Nb3VGa

An optimized crystal structure of Nb3VGa (GGA-PBE, the Alexandria database).

Geometry as POSCAR:
```
Nb3VGa
1.0
-1.212 -0.187 4.587
0.491 -4.722 -0.062
4.565 0.459 1.225
Nb V Ga
3 1 1
Direct
0.000 0.000 0.500
0.500 0.000 0.000
0.000 0.500 0.000
0.500 0.500 0.500
0.000 0.000 0.000
```

Results
spin magnetization = 2.4 μB/f.u.
crystal system = cubic

---

Least stable: (three)

---

(one)
# NbV3Ga

An optimized crystal structure of NbV3Ga (GGA-PBE, the Alexandria database).

Geometry as POSCAR:
```
NbV3Ga
1.0
5.241 0.000 0.000
0.000 8.854 -0.198
0.000 -2.733 6.446
V Nb Ga
12 4 4
Direct
0.569 0.642 0.029
0.434 0.163 0.565
0.566 0.837 0.435
0.874 0.729 0.714
0.931 0.142 0.529
0.934 0.337 0.935
0.069 0.858 0.471
0.126 0.271 0.286
0.374 0.771 0.786
0.431 0.358 0.971
0.066 0.663 0.065
0.626 0.229 0.214
0.316 0.563 0.381
0.184 0.063 0.881
0.684 0.437 0.619
0.816 0.937 0.119
0.812 0.542 0.300
0.312 0.958 0.200
0.688 0.042 0.800
0.188 0.458 0.700
```

Results
spin magnetization = 0.0 μB/f.u.
crystal system = monoclinic

---

(two)
# NbV3Ga

An optimized crystal structure of NbV3Ga (GGA-PBE, the Alexandria database).

Geometry as POSCAR:
```
NbV3Ga
1.0
4.589 0.000 0.000
0.000 4.589 0.000
0.000 0.000 4.589
V Nb Ga
3 1 1
Direct
0.000 0.500 0.000
0.000 0.000 0.500
0.500 0.000 0.000
0.000 0.000 0.000
0.500 0.500 0.500
```

Results
spin magnetization = 0.0 μB/f.u.
crystal system = cubic

---

Least stable: (two)

---

(one)
# NbV4Ga

An optimized crystal structure of NbV4Ga (GGA-PBE, the Alexandria database).

Geometry as POSCAR:
```
NbV4Ga
1.0
4.130 0.000 -1.401
0.000 4.306 0.000
-0.572 0.000 5.103
V Nb Ga
4 1 1
Direct
0.320 0.000 0.640
0.820 0.500 0.641
0.180 0.500 0.359
0.680 0.000 0.360
0.500 0.500 0.000
0.000 0.000 0.000
```

Results
spin magnetization = 0.0 μB/f.u.
crystal system = orthorhombic

---

(two)
# NbV4Ga

An optimized crystal structure of NbV4Ga (GGA-PBE, the Alexandria database).

Geometry as POSCAR:
```
NbV4Ga
1.0
5.002 0.000 0.000
2.501 4.332 0.000
2.501 1.444 4.084
V Nb Ga
4 1 1
Direct
0.623 0.131 0.623
0.131 0.623 0.623
0.623 0.623 0.131
0.623 0.623 0.623
0.250 0.250 0.250
0.000 0.000 0.000
```

Results
spin magnetization = 0.0 μB/f.u.
crystal system = cubic

---

Least stable: (two)

---

(one)
# NbGa2W

An optimized crystal structure of NbGa2W (GGA-PBE, the Alexandria database).

Geometry as POSCAR:
```
NbGa2W
1.0
-5.158 4.647 1.300
-4.397 -3.743 -4.068
-5.559 -1.035 0.829
Nb Ga W
2 4 2
Direct
0.500 0.500 0.000
0.250 0.750 0.500
0.632 0.125 0.250
0.875 0.882 0.750
0.118 0.625 0.250
0.375 0.368 0.750
0.000 0.000 0.000
0.750 0.250 0.500
```

Results
spin magnetization = 0.0 μB/f.u.
crystal system = tetragonal

---

(two)
# NbGa2W

An optimized crystal structure of NbGa2W (GGA-PBE, the Alexandria database).

Geometry as POSCAR:
```
NbGa2W
1.0
0.766 -4.272 1.132
-3.422 -2.665 1.142
-1.277 -3.311 -2.744
W Ga Nb
1 2 1
Direct
0.500 0.500 0.500
0.250 0.250 0.250
0.750 0.750 0.750
0.000 0.000 0.000
```

Results
spin magnetization = 0.0 μB/f.u.
crystal system = cubic

---

(three)
# NbGa2W

An optimized crystal structure of NbGa2W (GGA-PBE, the Alexandria database).

Geometry as POSCAR:
```
NbGa2W
1.0
-0.816 2.735 0.022
-2.663 0.688 0.762
1.762 1.936 9.755
Ga Nb W
2 1 1
Direct
0.089 0.089 0.734
0.911 0.911 0.266
0.500 0.500 0.500
0.000 0.000 0.000
```

Results
spin magnetization = 0.0 μB/f.u.
crystal system = trigonal

---

Least stable: (one)

---

(one)
# Nb3GaW

An optimized crystal structure of Nb3GaW (GGA-PBE, the Alexandria database).

Geometry as POSCAR:
```
Nb3GaW
1.0
4.873 0.000 0.000
0.000 4.873 0.000
0.000 0.000 4.873
W Nb Ga
1 3 1
Direct
0.000 0.000 0.000
0.500 0.000 0.000
0.000 0.500 0.000
0.000 0.000 0.500
0.500 0.500 0.500
```

Results
spin magnetization = 0.0 μB/f.u.
crystal system = cubic

---

(two)
# Nb3GaW

An optimized crystal structure of Nb3GaW (GGA-PBE, the Alexandria database).

Geometry as POSCAR:
```
Nb3GaW
1.0
4.679 0.000 0.000
0.000 4.679 0.000
0.000 0.000 4.679
Nb Ga W
3 1 1
Direct
0.000 0.500 0.000
0.000 0.000 0.500
0.500 0.000 0.000
0.000 0.000 0.000
0.500 0.500 0.500
```

Results
spin magnetization = 0.0 μB/f.u.
crystal system = cubic

---

Least stable: (two)